(1)
# Tl14GaPb (PBE-GGA, optimized geometry)
# Formation enthalpy at 0 K (eV/atom): 0.020
# Crystal system: orthorhombic
data_Tl14GaPb
_space_group_name_H-M_alt 'A m m 2'
_space_group_IT_number 38
_cell_length_a 11.075
_cell_length_b 7.424
_cell_length_c 11.848
_cell_angle_alpha 90.00
_cell_angle_beta 90.00
_cell_angle_gamma 90.00
loop_
_space_group_symop_operation_xyz
'x,y,z'
'-x,-y,z'
'-x,y,z'
'x,-y,z'
'x,y+1/2,z+1/2'
'-x,-y+1/2,z+1/2'
'-x,y+1/2,z+1/2'
'x,-y+1/2,z+1/2'
loop_
_atom_site_label
_atom_site_fract_x
_atom_site_fract_y
_atom_site_fract_z
Tl1 0.000 0.000 0.000
Tl2 0.000 0.000 0.497
Tl3 0.000 0.246 0.246
Tl4 0.248 0.000 0.823
Tl5 0.255 0.000 0.321
Tl6 0.259 0.241 0.571
Tl7 0.500 0.246 0.753
Ga1 0.500 0.000 0.496
Pb1 0.500 0.000 0.000

(2)
# Pa2SeCl (PBE-GGA, optimized geometry)
# Formation energy without anion corrections (meV per atom): -783
# Excess energy over the best structure of this formula in the dataset (eV/atom): 0.000
# Crystal system: trigonal
data_Pa2SeCl
_space_group_name_H-M_alt 'R -3 m'
_space_group_IT_number 166
_space_group_name_Hall '-R 3 2"'
_cell_length_a 3.5275
_cell_length_b 3.5275
_cell_length_c 28.4779
_cell_angle_alpha 90.00
_cell_angle_beta 90.00
_cell_angle_gamma 120.00
loop_
_atom_site_label
_atom_site_fract_x
_atom_site_fract_y
_atom_site_fract_z
Pa1 0.0000 0.0000 0.0940
Se1 0.0000 0.0000 0.5000
Cl1 0.0000 0.0000 0.0000

(3)
# Ba2MgCl (PBE-GGA, optimized geometry)
# Formation energy without anion corrections (meV per atom): -836
# Excess energy over the best structure of this formula in the dataset (eV/atom): 0.050
# Crystal system: orthorhombic
data_Ba2MgCl
_space_group_name_H-M_alt 'P m m 2'
_space_group_IT_number 25
_cell_length_a 6.350
_cell_length_b 6.353
_cell_length_c 4.324
_cell_angle_alpha 90.00
_cell_angle_beta 90.00
_cell_angle_gamma 90.00
loop_
_space_group_symop_operation_xyz
'x,y,z'
'-x,-y,z'
'-x,y,z'
'x,-y,z'
loop_
_atom_site_label
_atom_site_fract_x
_atom_site_fract_y
_atom_site_fract_z
Ba1 0.000 0.000 0.000
Ba2 0.500 0.500 0.003
Mg1 0.000 0.500 0.502
Cl1 0.500 0.000 0.000

(4)
# Cs3U3NbSe8 (PBE-GGA, optimized geometry)
# Formation energy without anion corrections (meV per atom): -1141
# Crystal system: trigonal
data_Cs3U3NbSe8
_space_group_name_H-M_alt 'R -3 m'
_space_group_IT_number 166
_space_group_name_Hall '-R 3 2"'
_cell_length_a 8.2140
_cell_length_b 8.2140
_cell_length_c 25.9273
_cell_angle_alpha 90.00
_cell_angle_beta 90.00
_cell_angle_gamma 120.00
loop_
_atom_site_label
_atom_site_fract_x
_atom_site_fract_y
_atom_site_fract_z
Cs1 0.0000 0.5000 0.0000
U1 0.0000 0.5000 0.5000
Nb1 0.0000 0.0000 0.5000
Se1 0.0000 0.0000 0.2302
Se2 0.0144 0.5072 0.2269

(5)
# K2CuF5 (PBE-GGA, optimized geometry)
# Formation energy without anion corrections (meV per atom): -2105
# Crystal system: tetragonal
data_K2CuF5
_space_group_name_H-M_alt 'I 4 m m'
_space_group_IT_number 107
_space_group_name_Hall 'I 4 -2'
_cell_length_a 6.113
_cell_length_b 6.113
_cell_length_c 7.500
_cell_angle_alpha 90.00
_cell_angle_beta 90.00
_cell_angle_gamma 90.00
loop_
_atom_site_label
_atom_site_fract_x
_atom_site_fract_y
_atom_site_fract_z
K1 0.000 0.500 0.000
Cu1 0.000 0.000 0.233
F1 0.000 0.000 0.984
F2 0.216 0.216 0.262

(6)
# Ce2Ga3SiPt4 (PBE-GGA, optimized geometry)
# Formation energy without anion corrections (meV per atom): -959
# Crystal system: tetragonal
data_Ce2Ga3SiPt4
_space_group_name_H-M_alt 'P -4 m 2'
_space_group_IT_number 115
_cell_length_a 4.303
_cell_length_b 4.303
_cell_length_c 10.226
_cell_angle_alpha 90.00
_cell_angle_beta 90.00
_cell_angle_gamma 90.00
loop_
_space_group_symop_operation_xyz
'x,y,z'
'y,-x,-z'
'-x,-y,z'
'-y,x,-z'
'-x,y,z'
'-y,-x,-z'
'x,-y,z'
'y,x,-z'
loop_
_atom_site_label
_atom_site_fract_x
_atom_site_fract_y
_atom_site_fract_z
Ce1 0.000 0.500 0.243
Ga1 0.000 0.000 0.000
Ga2 0.000 0.500 0.633
Si1 0.500 0.500 0.000
Pt1 0.000 0.000 0.500
Pt2 0.000 0.500 0.876
Pt3 0.500 0.500 0.500

(7)
# Pm8Sm2Ho (PBE-GGA, optimized geometry)
# Formation enthalpy at 0 K (eV/atom): 0.162
# Excess energy over the best structure of this formula in the dataset (eV/atom): 0.148
# Crystal system: monoclinic
data_Pm8Sm2Ho
_space_group_name_H-M_alt 'C 1 2/m 1'
_space_group_IT_number 12
_cell_length_a 19.192
_cell_length_b 7.090
_cell_length_c 5.733
_cell_angle_alpha 90.00
_cell_angle_beta 93.83
_cell_angle_gamma 90.00
loop_
_space_group_symop_operation_xyz
'x,y,z'
'-x,-y,-z'
'-x,y,-z'
'x,-y,z'
'x+1/2,y+1/2,z'
'-x+1/2,-y+1/2,-z'
'-x+1/2,y+1/2,-z'
'x+1/2,-y+1/2,z'
loop_
_atom_site_label
_atom_site_fract_x
_atom_site_fract_y
_atom_site_fract_z
Pm1 0.045 0.000 0.235
Pm2 0.129 0.236 0.731
Pm3 0.186 0.500 0.228
Sm1 0.216 0.000 0.257
Ho1 0.000 0.500 0.000

(8)
# K12I3O4 (PBE-GGA, optimized geometry)
# Formation energy without anion corrections (meV per atom): -1131
# Crystal system: cubic
data_K12I3O4
_space_group_name_H-M_alt 'I m -3'
_space_group_IT_number 204
_space_group_name_Hall '-I 2 2 3'
_cell_length_a 10.780
_cell_length_b 10.780
_cell_length_c 10.780
_cell_angle_alpha 90.00
_cell_angle_beta 90.00
_cell_angle_gamma 90.00
loop_
_atom_site_label
_atom_site_fract_x
_atom_site_fract_y
_atom_site_fract_z
K1 0.000 0.251 0.250
I1 0.000 0.000 0.500
O1 0.250 0.250 0.250

Number 1: Fermi-level density of states 7.0 states/eV/f.u., E_tot -2.47 eV/atom. Number 2: Fermi-level density of states 6.6 states/eV/f.u., E_tot -6.86 eV/atom. Number 3: Fermi-level density of states 4.7 states/eV/f.u., E_tot -2.66 eV/atom. Number 4: Fermi-level density of states 12.4 states/eV/f.u., E_tot -6.10 eV/atom. Number 5: Fermi-level density of states 3.8 states/eV/f.u., E_tot -4.06 eV/atom. Number 6: Fermi-level density of states 11.9 states/eV/f.u., E_tot -6.01 eV/atom. Number 7: Fermi-level density of states 16.6 states/eV/f.u., E_tot -4.57 eV/atom. Number 8: Fermi-level density of states 2.3 states/eV/f.u., E_tot -3.11 eV/atom.